Entry 1:
{
  "formula": "K2MoAs",
  "functional": "GGA-PBE",
  "state": "relaxed",
  "cell": [[4.288, -0.023, 0.008], [2.170, 3.699, 0.008], [1.925, 1.095, 9.623]],
  "species": ["K", "As", "K", "Mo"],
  "frac_coords": [[0.792, 0.792, 0.649], [0.209, 0.209, 0.375], [0.957, 0.957, 0.101], [0.542, 0.542, 0.375]],
  "dos_ef_per_ev_fu": 4.390,
  "e_form_ev_per_fu": 1.20
}

Entry 2:
{
  "formula": "Ce2Be4Si3Ag",
  "functional": "GGA-PBE",
  "state": "relaxed",
  "cell": [[-0.521, 3.482, -1.916], [-3.900, -0.822, -0.433], [-1.838, 4.320, 8.349]],
  "species": ["Be", "Be", "Be", "Si", "Ag", "Si", "Be", "Si", "Ce", "Ce"],
  "frac_coords": [[0.500, 0.000, 0.636], [0.000, 0.000, 0.000], [0.000, 0.500, 0.364], [0.500, 0.000, 0.872], [0.500, 0.500, 0.500], [0.000, 0.000, 0.500], [0.500, 0.500, 0.000], [0.000, 0.500, 0.128], [0.000, 0.500, 0.762], [0.500, 0.000, 0.238]],
  "dos_ef_per_ev_fu": 9.793,
  "formation_energy_uncorrected_kj_per_mol_atoms": -33
}

Entry 3:
{
  "formula": "Ir2RuPt",
  "functional": "GGA-PBE",
  "state": "relaxed",
  "cell": [[-2.460, -0.798, 3.981], [4.270, -2.048, 0.332], [1.023, 2.312, 1.096]],
  "species": ["Pt", "Ir", "Ir", "Ru"],
  "frac_coords": [[0.500, 0.000, 0.500], [0.500, 0.500, 0.000], [0.000, 0.000, 0.000], [0.000, 0.500, 0.500]],
  "dos_ef_per_ev_fu": 5.102,
  "e_form_ev_per_fu": 0.23
}

Entry 4:
{
  "formula": "KNpInTe3",
  "functional": "GGA-PBE",
  "state": "relaxed",
  "cell": [[4.568, 0.000, 0.000], [0.000, 9.117, -0.914], [0.000, -3.329, 10.931]],
  "species": ["Te", "Np", "In", "Te", "Te", "In", "K", "Te", "Np", "Te", "Te", "K"],
  "frac_coords": [[0.750, 0.930, 0.112], [0.750, 0.295, 0.859], [0.250, 0.104, 0.634], [0.750, 0.236, 0.537], [0.250, 0.070, 0.888], [0.750, 0.896, 0.366], [0.750, 0.745, 0.746], [0.250, 0.523, 0.850], [0.250, 0.705, 0.141], [0.750, 0.477, 0.150], [0.250, 0.764, 0.463], [0.250, 0.255, 0.254]],
  "dos_ef_per_ev_fu": 10.505,
  "formation_energy_uncorrected_kj_per_mol_atoms": -57
}

Entry 5:
{
  "formula": "Ni2Ag2Pd15",
  "functional": "GGA-PBE",
  "state": "relaxed",
  "cell": [[-2.682, -6.359, -0.052], [1.980, -2.043, 6.288], [-5.851, 1.283, 3.428]],
  "species": ["Pd", "Pd", "Ag", "Pd", "Ni", "Pd", "Ni", "Pd", "Pd", "Pd", "Pd", "Pd", "Pd", "Pd", "Pd", "Pd", "Pd", "Ag", "Pd"],
  "frac_coords": [[0.310, 0.690, 0.000], [0.842, 0.343, 0.343], [0.304, 0.304, 0.304], [0.000, 0.500, 0.000], [0.087, 0.087, 0.087], [0.500, 0.000, 0.000], [0.913, 0.913, 0.913], [0.343, 0.842, 0.343], [0.000, 0.000, 0.500], [0.158, 0.657, 0.657], [0.310, 0.000, 0.690], [0.690, 0.000, 0.310], [0.000, 0.690, 0.310], [0.690, 0.310, 0.000], [0.000, 0.310, 0.690], [0.343, 0.343, 0.842], [0.657, 0.657, 0.158], [0.696, 0.696, 0.696], [0.657, 0.158, 0.657]],
  "dos_ef_per_ev_fu": 34.093,
  "e_form_ev_per_fu": 4.30
}

Entry 6:
{
  "formula": "Pr2HgPbO5",
  "functional": "GGA-PBE",
  "state": "relaxed",
  "cell": [[-3.983, 0.538, 4.945], [-3.795, -5.278, -2.482], [3.886, -4.496, 3.620]],
  "species": ["O", "Hg", "Pr", "Pr", "O", "O", "O", "Hg", "O", "O", "O", "Pr", "Pb", "Pb", "Pr", "O", "O", "O"],
  "frac_coords": [[0.268, 0.868, 0.368], [0.000, 0.500, 0.500], [0.500, 0.820, 0.680], [0.500, 0.180, 0.320], [0.500, 0.500, 0.500], [0.732, 0.632, 0.868], [0.268, 0.632, 0.868], [0.000, 0.000, 0.000], [0.268, 0.368, 0.132], [0.268, 0.132, 0.632], [0.500, 0.000, 0.000], [0.500, 0.320, 0.820], [0.000, 0.500, 0.000], [0.000, 0.000, 0.500], [0.500, 0.680, 0.180], [0.732, 0.868, 0.368], [0.732, 0.368, 0.132], [0.732, 0.132, 0.632]],
  "dos_ef_per_ev_fu": 2.516,
  "formation_energy_uncorrected_kj_per_mol_atoms": -178
}

Entry 7:
{
  "formula": "LiIn4Bi",
  "functional": "GGA-PBE",
  "state": "relaxed",
  "cell": [[6.239, 0.000, 0.000], [3.119, 5.403, 0.000], [3.119, 1.801, 5.094]],
  "species": ["Li", "In", "In", "Bi", "In", "In"],
  "frac_coords": [[0.250, 0.250, 0.250], [0.126, 0.625, 0.625], [0.625, 0.625, 0.625], [0.000, 0.000, 0.000], [0.625, 0.625, 0.126], [0.625, 0.126, 0.625]],
  "dos_ef_per_ev_fu": 2.028,
  "e_form_ev_per_fu": 0.25
}

Entry 8:
{
  "formula": "Nd3TiPd12",
  "functional": "GGA-PBE",
  "state": "relaxed",
  "cell": [[-2.184, -2.781, -2.153], [3.111, -0.346, -2.709], [6.539, -12.149, 9.061]],
  "species": ["Pd", "Pd", "Pd", "Pd", "Nd", "Pd", "Ti", "Pd", "Pd", "Pd", "Nd", "Pd", "Pd", "Nd", "Pd", "Pd"],
  "frac_coords": [[0.000, 0.500, 0.370], [0.500, 0.500, 0.500], [0.500, 0.500, 0.760], [0.500, 0.500, 0.240], [0.000, 0.000, 0.242], [0.000, 0.500, 0.109], [0.000, 0.000, 0.000], [0.000, 0.500, 0.891], [0.500, 0.000, 0.370], [0.000, 0.500, 0.630], [0.000, 0.000, 0.500], [0.500, 0.500, 0.000], [0.500, 0.000, 0.109], [0.000, 0.000, 0.758], [0.500, 0.000, 0.891], [0.500, 0.000, 0.630]],
  "dos_ef_per_ev_fu": 8.498,
  "e_form_ev_per_fu": -11.67
}

Entry 9:
{
  "formula": "K4ZnO3",
  "functional": "GGA-PBE",
  "state": "relaxed",
  "cell": [[7.007, -0.059, -0.007], [-3.082, 8.521, 0.000], [0.140, -2.534, 10.971]],
  "species": ["K", "O", "O", "K", "O", "O", "K", "Zn", "K", "Zn", "K", "O", "K", "K", "Zn", "K", "K", "O", "K", "O", "O", "O", "K", "K", "K", "K", "O", "O", "Zn", "K", "O", "K"],
  "frac_coords": [[0.308, 0.354, 0.424], [0.566, 0.329, 0.586], [0.945, 0.179, 0.815], [0.223, 0.655, 0.021], [0.610, 0.837, 0.103], [0.867, 0.642, 0.904], [0.124, 0.865, 0.795], [0.708, 0.277, 0.444], [0.644, 0.914, 0.882], [0.837, 0.766, 0.061], [0.985, 0.451, 0.705], [0.133, 0.358, 0.096], [0.692, 0.646, 0.576], [0.620, 0.097, 0.669], [0.163, 0.234, 0.939], [0.015, 0.549, 0.295], [0.777, 0.345, 0.979], [0.390, 0.163, 0.897], [0.380, 0.903, 0.331], [0.434, 0.671, 0.414], [0.374, 0.696, 0.711], [0.055, 0.821, 0.185], [0.154, 0.123, 0.624], [0.500, 0.477, 0.800], [0.846, 0.877, 0.376], [0.876, 0.135, 0.205], [0.917, 0.191, 0.464], [0.083, 0.809, 0.536], [0.292, 0.723, 0.556], [0.500, 0.523, 0.200], [0.626, 0.304, 0.289], [0.356, 0.086, 0.118]],
  "formation_energy_uncorrected_kj_per_mol_atoms": -120
}

Entry 10:
{
  "formula": "BaDy2NbN4",
  "functional": "GGA-PBE",
  "state": "relaxed",
  "cell": [[3.521, 0.000, 0.000], [-1.761, 6.280, 0.000], [0.000, 0.000, 12.167]],
  "species": ["N", "N", "N", "Dy", "Ba", "Nb", "Dy", "Dy", "N", "N", "Ba", "N", "Nb", "Dy", "N", "N"],
  "frac_coords": [[0.000, 0.000, 0.500], [0.589, 0.178, 0.250], [0.255, 0.511, 0.114], [0.628, 0.257, 0.465], [0.910, 0.820, 0.250], [0.173, 0.347, 0.250], [0.372, 0.743, 0.535], [0.372, 0.743, 0.965], [0.000, 0.000, 0.000], [0.745, 0.489, 0.614], [0.090, 0.180, 0.750], [0.255, 0.511, 0.386], [0.827, 0.653, 0.750], [0.628, 0.257, 0.035], [0.411, 0.822, 0.750], [0.745, 0.489, 0.886]],
  "dos_ef_per_ev_fu": 2.963,
  "formation_energy_uncorrected_kj_per_mol_atoms": -117
}